# HoTh2Au3

HoTh2Au3 after structural relaxation (PBE-GGA, Alexandria via LeMat-Bulk).

Lattice parameters (Å, degrees): 5.1637 16.1939 3.5562 90.00 90.00 90.00
Last column: nearest neighbours and their distance in Å.
Atoms (fractional coordinates):
Ho  0.2500  0.2500  0.0074  8 Au 3.05-3.14
Ho  0.7500  0.7500  0.9926  8 Au 3.05-3.14
Th  0.2500  0.5796  0.9919  8 Au 3.14-3.39
Th  0.2500  0.9204  0.9919  8 Au 3.14-3.39
Th  0.7500  0.0796  0.0081  8 Au 3.14-3.39
Th  0.7500  0.4204  0.0081  8 Au 3.14-3.39
Au  0.2500  0.0968  0.5068  2 Ho 3.05, 6 Th 3.14-3.39
Au  0.2500  0.4032  0.5068  2 Ho 3.05, 6 Th 3.14-3.39
Au  0.2500  0.7500  0.4927  4 Ho 3.13-3.14, 4 Th 3.28
Au  0.7500  0.2500  0.5073  4 Ho 3.13-3.14, 4 Th 3.28
Au  0.7500  0.5968  0.4932  2 Ho 3.05, 6 Th 3.14-3.39
Au  0.7500  0.9032  0.4932  2 Ho 3.05, 6 Th 3.14-3.39

Properties
* N(E_F): 5.65 states/eV/f.u.
* total magnetization: 0.0 μB per formula unit
* symmetry: No. 59
* ΔH_f (0 K): -658 meV/atom
* total DFT energy (no corrections): -5.533 eV/atom

---

# Ho2ThAu

Ho2ThAu after structural relaxation (PBE-GGA, Alexandria via LeMat-Bulk).

Lattice parameters (Å, degrees): 10.1599 10.1599 10.1599 20.88 20.88 20.88
Last column: nearest neighbours and their distance in Å.
Atoms (fractional coordinates):
Ho  0.0000  0.0000  0.0000  3 Au 2.96
Ho  0.1956  0.1956  0.1956  3 Au 2.95
Th  0.4322  0.4322  0.4322  6 Ho 3.58-3.63, 6 Th 3.68
Au  0.5974  0.5974  0.5974  6 Ho 2.95-2.96

Properties
* energy above the most stable polymorph in this dataset: 165.7 meV per atom
* N(E_F): 5.97 states/eV/f.u.
* total magnetization: 0.0 μB per formula unit
* symmetry: No. 160
* ΔH_f (0 K): -253 meV/atom
* total DFT energy (no corrections): -5.217 eV/atom

---

# Ho2ThAu

Ho2ThAu after structural relaxation (PBE-GGA, Alexandria via LeMat-Bulk).

Lattice parameters (Å, degrees): 11.3284 11.3284 11.3284 17.74 17.74 17.74
Last column: nearest neighbours and their distance in Å.
Atoms (fractional coordinates):
Ho  0.1015  0.1015  0.1015  3 Au 2.97
Ho  0.8985  0.8985  0.8985  3 Au 2.97
Th  0.0000  0.0000  0.0000  2 Ho 3.40, 6 Th 3.49
Au  0.5000  0.5000  0.5000  6 Ho 2.97

Properties
* energy above the most stable polymorph in this dataset: 377.8 meV per atom
* N(E_F): 4.71 states/eV/f.u.
* total magnetization: 0.0 μB per formula unit
* symmetry: No. 166
* ΔH_f (0 K): -41 meV/atom
* total DFT energy (no corrections): -5.005 eV/atom